# BeMoPbW

An optimized crystal structure of BeMoPbW (PBE-GGA, the Open Quantum Materials Database).

VASP energy = -0.25832 hartree per atom

Cell and atoms, written as CIF:
```
data_BeMoPbW
_chemical_formula_sum 'Be4 Mo4 Pb4 W4'
_cell_length_a 6.3955
_cell_length_b 6.3955
_cell_length_c 6.3955
_cell_angle_alpha 90.00
_cell_angle_beta 90.00
_cell_angle_gamma 90.00
_space_group_name_H-M_alt 'F -4 3 m'
_space_group_IT_number 216
_space_group_name_Hall 'F -4 2 3'
loop_
_atom_site_label
_atom_site_type_symbol
_atom_site_fract_x
_atom_site_fract_y
_atom_site_fract_z
_atom_site_occupancy
Be1 Be 0.0000 0.0000 0.0000 1
Mo1 Mo 0.0000 0.0000 0.5000 1
Pb1 Pb 0.2500 0.2500 0.2500 1
W1 W 0.2500 0.2500 0.7500 1
```